# 1
This record from Alexandria via LeMat-Bulk describes a relaxed VCrP3 crystal. The functional is PBE.

a = 4.5189 Å, b = 4.5189 Å, c = 4.5189 Å
α = 90.00°, β = 90.00°, γ = 90.00°
Element x y z (fractional)
V 0.0000 0.0000 0.0000
Cr 0.5000 0.5000 0.5000
P 0.0000 0.0000 0.5000
P 0.0000 0.5000 0.0000
P 0.5000 0.0000 0.0000

Results
As for the formation enthalpy at 0 K: 462 meV per atom. The value obtained for the total energy is -32.66 eV/cell.

---

# 2
This record from Alexandria via LeMat-Bulk describes a relaxed KSr2La2 crystal. The functional is PBE.

a = 9.8232 Å, b = 9.8232 Å, c = 9.8232 Å
α = 148.02°, β = 148.02°, γ = 45.86°
Element x y z (fractional)
K 0.0000 0.0000 0.0000
Sr 0.2500 0.7500 0.5000
Sr 0.7500 0.2500 0.5000
La 0.4185 0.4185 0.0000
La 0.5815 0.5815 0.0000

Results
As for the formation enthalpy at 0 K: 555 meV per atom. The value obtained for the total energy is -11.54 eV/cell. For the excess energy over the best structure of this formula in the dataset, the calculation gives 242 meV/atom.

---

Question: The lowest formation enthalpy at 0 K belongs to which entry?
Answer: VCrP3

---

What did the second record say?
This record from Alexandria via LeMat-Bulk describes a relaxed KSr2La2 crystal. The functional is PBE.

a = 9.8232 Å, b = 9.8232 Å, c = 9.8232 Å
α = 148.02°, β = 148.02°, γ = 45.86°
Element x y z (fractional)
K 0.0000 0.0000 0.0000
Sr 0.2500 0.7500 0.5000
Sr 0.7500 0.2500 0.5000
La 0.4185 0.4185 0.0000
La 0.5815 0.5815 0.0000

Results
As for the formation enthalpy at 0 K: 555 meV per atom. The value obtained for the total energy is -11.54 eV/cell. For the excess energy over the best structure of this formula in the dataset, the calculation gives 242 meV/atom.

---

Repeat the second record exactly.
This record from Alexandria via LeMat-Bulk describes a relaxed KSr2La2 crystal. The functional is PBE.

a = 9.8232 Å, b = 9.8232 Å, c = 9.8232 Å
α = 148.02°, β = 148.02°, γ = 45.86°
Element x y z (fractional)
K 0.0000 0.0000 0.0000
Sr 0.2500 0.7500 0.5000
Sr 0.7500 0.2500 0.5000
La 0.4185 0.4185 0.0000
La 0.5815 0.5815 0.0000

Results
As for the formation enthalpy at 0 K: 555 meV per atom. The value obtained for the total energy is -11.54 eV/cell. For the excess energy over the best structure of this formula in the dataset, the calculation gives 242 meV/atom.

---

Question: Which formula does entry 1 have?
Answer: VCrP3